Version A
DFT (PBE) results for SrLiSe after structural relaxation.

a = 6.068 Å, b = 6.068 Å, c = 6.068 Å
α = 143.76°, β = 143.76°, γ = 52.19°
Each line ends with the local moment (μB).
Sites, in units of the cell vectors:
Li1 0.954 0.954 0.000  0.04
Se1 0.363 0.363 0.000  0.02
Sr1 0.683 0.683 0.000  0.10

Results
SG = I4mm (107)
Volume = 78 Å³ per cell

Version B
DFT (PBE) results for SrLiSe after structural relaxation.

a = 7.199 Å, b = 9.737 Å, c = 9.737 Å
α = 49.95°, β = 68.31°, γ = 68.31°
Sites, in units of the cell vectors:
Sr1 0.246 0.971 0.471
Sr2 0.688 0.029 0.529
Sr3 0.686 0.530 0.030
Sr4 0.245 0.470 0.970
Sr5 0.836 0.250 0.750
Sr6 0.836 0.750 0.250
Li1 0.475 0.500 0.500
Li2 0.475 0.000 0.000
Li3 0.244 0.897 0.896
Li4 0.037 0.103 0.104
Li5 0.037 0.604 0.603
Li6 0.244 0.396 0.397
Se1 0.262 0.749 0.249
Se2 0.260 0.251 0.751
Se3 0.629 0.634 0.634
Se4 0.898 0.366 0.366
Se5 0.898 0.866 0.866
Se6 0.629 0.134 0.134

Results
SG = Ima2 (46)
Volume = 477 Å³ per cell

Version C
DFT (PBE) results for SrLiSe after structural relaxation.

a = 4.331 Å, b = 4.331 Å, c = 4.568 Å
α = 90.00°, β = 90.00°, γ = 120.00°
Each line ends with the local moment (μB).
Sites, in units of the cell vectors:
Li1 0.000 0.000 0.167  0.05
Se1 0.667 0.333 0.166  0.02
Sr1 0.333 0.667 0.667  0.15

Results
SG = P-6m2 (187)
Volume = 74 Å³ per cell

Short version: version A is the least stable of them.

Version A
DFT (PBE) results for LiTaSe3 after structural relaxation.

a = 4.952 Å, b = 4.952 Å, c = 6.506 Å
α = 90.00°, β = 90.00°, γ = 90.00°
Sites, in units of the cell vectors:
Li1 0.500 0.500 0.458
Se1 0.000 0.000 0.877
Se2 0.500 0.000 0.351
Se3 0.000 0.500 0.351
Ta1 0.000 0.000 0.227

Results
SG = P4mm (99)
Volume = 160 Å³ per cell

Version B
DFT (PBE) results for LiTaSe3 after structural relaxation.

a = 3.585 Å, b = 8.584 Å, c = 9.049 Å
α = 70.42°, β = 66.66°, γ = 77.95°
Sites, in units of the cell vectors:
Ta1 0.851 0.641 0.221
Ta2 0.503 0.053 0.863
Se1 0.959 0.341 0.291
Se2 0.824 0.001 0.105
Se3 0.259 0.002 0.662
Se4 0.451 0.352 0.793
Se5 0.155 0.692 0.422
Se6 0.605 0.692 0.978
Li1 0.213 0.347 0.542
Li2 0.709 0.346 0.042

Results
SG = C2 (5)
Volume = 240 Å³ per cell

Short version: version A is the least stable of them.

Version A
DFT (PBE) results for LiTaSe3 after structural relaxation.

a = 6.940 Å, b = 6.940 Å, c = 6.940 Å
α = 58.55°, β = 58.55°, γ = 58.55°
Sites, in units of the cell vectors:
Li1 0.250 0.250 0.250
Li2 0.750 0.750 0.750
Se1 0.876 0.624 0.250
Se2 0.624 0.250 0.876
Se3 0.250 0.876 0.624
Se4 0.750 0.124 0.376
Se5 0.376 0.750 0.124
Se6 0.124 0.376 0.750
Ta1 0.000 0.000 0.000
Ta2 0.500 0.500 0.500

Results
SG = R-3c (167)
Volume = 229 Å³ per cell

Version B
DFT (PBE) results for LiTaSe3 after structural relaxation.

a = 3.967 Å, b = 6.748 Å, c = 8.449 Å
α = 90.00°, β = 97.56°, γ = 90.00°
Sites, in units of the cell vectors:
Li1 0.103 0.250 0.404
Li2 0.897 0.750 0.596
Se1 0.794 0.017 0.150
Se2 0.206 0.983 0.850
Se3 0.794 0.483 0.150
Se4 0.206 0.517 0.850
Se5 0.658 0.250 0.590
Se6 0.342 0.750 0.410
Ta1 0.718 0.250 0.889
Ta2 0.282 0.750 0.111

Results
SG = P2_1/m (11)
Volume = 224 Å³ per cell

Version C
DFT (PBE) results for LiTaSe3 after structural relaxation.

a = 3.602 Å, b = 9.212 Å, c = 7.691 Å
α = 72.52°, β = 103.00°, γ = 89.59°
Sites, in units of the cell vectors:
Ta1 0.004 0.665 0.202
Ta2 0.327 0.062 0.841
Se1 0.057 0.393 0.247
Se2 0.997 0.988 0.117
Se3 0.741 0.046 0.603
Se4 0.333 0.328 0.814
Se5 0.649 0.679 0.441
Se6 0.412 0.737 0.934
Li1 0.702 0.366 0.531
Li2 0.531 0.203 0.190

Results
SG = P1 (1)
Volume = 236 Å³ per cell

Short version: version B is the least stable of them.

Version A
DFT (PBE) results for LiTaSe3 after structural relaxation.

a = 7.264 Å, b = 7.264 Å, c = 7.264 Å
α = 53.47°, β = 53.47°, γ = 53.47°
Sites, in units of the cell vectors:
Li1 0.153 0.153 0.153
Li2 0.847 0.847 0.847
Se1 0.439 0.073 0.729
Se2 0.073 0.729 0.439
Se3 0.271 0.561 0.927
Se4 0.927 0.271 0.561
Se5 0.561 0.927 0.271
Se6 0.729 0.439 0.073
Ta1 0.345 0.345 0.345
Ta2 0.655 0.655 0.655

Results
SG = R-3 (148)
Volume = 230 Å³ per cell

Version B
DFT (PBE) results for LiTaSe3 after structural relaxation.

a = 13.525 Å, b = 8.936 Å, c = 8.936 Å
α = 94.98°, β = 130.98°, γ = 49.02°
Sites, in units of the cell vectors:
Li1 0.268 0.325 0.506
Li2 0.232 0.006 0.825
Li3 0.732 0.675 0.494
Li4 0.768 0.994 0.175
Se1 0.371 0.437 0.403
Se2 0.129 0.903 0.937
Se3 0.629 0.563 0.597
Se4 0.871 0.097 0.063
Se5 0.116 0.227 0.213
Se6 0.384 0.713 0.727
Se7 0.884 0.773 0.787
Se8 0.616 0.287 0.273
Se9 0.630 0.879 0.900
Se10 0.870 0.400 0.379
Se11 0.370 0.121 0.100
Se12 0.130 0.600 0.621
Ta1 0.750 0.157 0.657
Ta2 0.250 0.843 0.343
Ta3 0.750 0.514 0.014
Ta4 0.250 0.486 0.986

Results
SG = C2/c (15)
Volume = 491 Å³ per cell

Short version: version B is the least stable of them.